[1]
Entry from Alexandria: crystalline MgNpTc2 at its relaxed geometry (PBE).

Unit cell a=3.2954 b=3.2954 c=6.4037 alpha=90.00 beta=90.00 gamma=90.00
Last column: nearest neighbours and their distance in Å.
Element x y z (fractional)
Mg: 0.5000 0.5000 0.5000  8 Tc 2.94, 2 Np 3.20
Np: 0.5000 0.5000 0.0000  8 Tc 2.72
Tc: 0.0000 0.0000 0.2200  4 Np 2.72, 1 Tc 2.82, 4 Mg 2.94
Tc: 0.0000 0.0000 0.7800  4 Np 2.72, 1 Tc 2.82, 4 Mg 2.94

Results
- Space-group type: P4/mmm (123)
- Energy above the lowest structure with this stoichiometry: 16 meV/atom
- Electronic total energy: -8.686 eV per atom
- Total magnetic moment: 0.8 μB per formula unit

---

[2]
Entry from Alexandria: crystalline MgNpTc2 at its relaxed geometry (PBE).

Unit cell a=3.3495 b=4.4868 c=4.4868 alpha=90.00 beta=90.00 gamma=90.00
Last column: nearest neighbours and their distance in Å.
Element x y z (fractional)
Tc: 0.0000 0.5000 0.0000  4 Np 2.80, 4 Mg 2.80
Tc: 0.0000 0.0000 0.5000  4 Np 2.80, 4 Mg 2.80
Np: 0.5000 0.5000 0.5000  8 Tc 2.80
Mg: 0.5000 0.0000 0.0000  8 Tc 2.80

Results
- Space-group type: P4/mmm (123)
- Energy above the lowest structure with this stoichiometry: 0 meV/atom
- Electronic total energy: -8.702 eV per atom
- Total magnetic moment: 0.9 μB per formula unit

---

[3]
Entry from Alexandria: crystalline MgNpTc at its relaxed geometry (PBE).

Unit cell a=3.1863 b=3.1863 c=6.4296 alpha=104.35 beta=104.35 gamma=90.00
Last column: nearest neighbours and their distance in Å.
Element x y z (fractional)
Np: 0.3023 0.3023 0.6046  4 Tc 2.74
Tc: 0.6734 0.6734 0.3469  4 Np 2.74, 4 Mg 2.88
Mg: 0.0242 0.0242 0.0485  4 Tc 2.88, 4 Mg 3.19

Results
- Space-group type: I4mm (107)
- Electronic total energy: -8.061 eV per atom
- Total magnetic moment: 2.7 μB per formula unit

---

[4]
Entry from Alexandria: crystalline MgNpTc4 at its relaxed geometry (PBE).

Unit cell a=5.3028 b=5.3028 c=5.3028 alpha=60.00 beta=60.00 gamma=60.00
Last column: nearest neighbours and their distance in Å.
Element x y z (fractional)
Mg: 0.0000 0.0000 0.0000  12 Tc 3.11, 4 Np 3.25
Tc: 0.1234 0.6255 0.6255  6 Tc 2.64-2.66
Np: 0.2500 0.2500 0.2500  12 Tc 3.11, 4 Mg 3.25
Tc: 0.6255 0.1234 0.6255  6 Tc 2.64-2.66
Tc: 0.6255 0.6255 0.1234  6 Tc 2.64-2.66
Tc: 0.6255 0.6255 0.6255  6 Tc 2.64-2.66

Results
- Space-group type: F-43m (216)
- Electronic total energy: -9.111 eV per atom
- Total magnetic moment: 4.6 μB per formula unit

---

[5]
Entry from Alexandria: crystalline MgNpTe2 at its relaxed geometry (PBE).

Unit cell a=4.1664 b=4.1664 c=7.9634 alpha=74.84 beta=74.84 gamma=60.00
Last column: nearest neighbours and their distance in Å.
Element x y z (fractional)
Np: 0.5009 0.5009 0.4974  6 Te 3.16-3.20
Mg: 0.6669 0.6669 0.9994  6 Te 2.94-2.96
Te: 0.0747 0.0747 0.7759  3 Mg 2.94, 3 Np 3.20
Te: 0.2576 0.2576 0.2273  3 Mg 2.96, 3 Np 3.16

Results
- Space-group type: R3m (160)
- Energy relative to the elements, uncorrected: -58.96 kJ/mol of atoms
- Energy above the lowest structure with this stoichiometry: 0 meV/atom
- Electronic total energy: -5.816 eV per atom
- Total magnetic moment: 5.0 μB per formula unit

---

[6]
Entry from Alexandria: crystalline MgNp2Te4 at its relaxed geometry (PBE).

Unit cell a=4.3379 b=8.2880 c=7.5693 alpha=62.84 beta=89.99 gamma=74.81
Last column: nearest neighbours and their distance in Å.
Element x y z (fractional)
Mg: 0.0000 0.0000 0.0000  6 Te 2.96-3.03
Te: 0.8830 0.2343 0.5582  1 Mg 2.96, 3 Np 3.08-3.10
Np: 0.7430 0.5139 0.7350  6 Te 3.08-3.14
Te: 0.6233 0.7534 0.9637  2 Mg 3.03, 3 Np 3.13-3.14
Te: 0.3767 0.2466 0.0363  2 Mg 3.03, 3 Np 3.13-3.14
Te: 0.1170 0.7657 0.4418  1 Mg 2.96, 3 Np 3.08-3.10
Np: 0.2570 0.4861 0.2650  6 Te 3.08-3.14

Results
- Space-group type: C2/m (12)
- Energy relative to the elements, uncorrected: -64.46 kJ/mol of atoms
- Electronic total energy: -6.388 eV per atom
- Total magnetic moment: 8.0 μB per formula unit

---

[7]
Entry from Alexandria: crystalline MgNpTe2 at its relaxed geometry (PBE).

Unit cell a=4.2570 b=4.2570 c=9.6855 alpha=77.30 beta=77.30 gamma=60.00
Last column: nearest neighbours and their distance in Å.
Element x y z (fractional)
Mg: 0.0000 0.0000 0.0000  2 Te 2.82
Np: 0.5000 0.5000 0.5000  6 Te 3.09
Te: 0.8997 0.8997 0.3009  1 Mg 2.82, 3 Np 3.09
Te: 0.1003 0.1003 0.6991  1 Mg 2.82, 3 Np 3.09

Results
- Space-group type: R-3m (166)
- Energy relative to the elements, uncorrected: -30.34 kJ/mol of atoms
- Energy above the lowest structure with this stoichiometry: 297 meV/atom
- Electronic total energy: -5.519 eV per atom
- Total magnetic moment: 4.1 μB per formula unit

---

[8]
Entry from Alexandria: crystalline MgNp3Tl4Te8 at its relaxed geometry (PBE).

Unit cell a=8.9130 b=9.6353 c=8.9126 alpha=117.55 beta=120.00 gamma=90.00
Last column: nearest neighbours and their distance in Å.
Element x y z (fractional)
Np: 0.0000 0.5000 0.5000  6 Te 3.10-3.11
Te: 0.7381 0.7143 0.4762  3 Np 3.11, 3 Tl 3.47
Te: 0.7664 0.2910 0.5329  1 Mg 3.05, 2 Np 3.10
Np: 0.5000 0.5000 0.0000  6 Te 3.10-3.11
Tl: 0.5000 0.0000 0.5000  6 Te 3.47-3.48
Mg: 0.0000 0.5000 0.0000  6 Te 3.05
Te: 0.2336 0.7090 0.4671  1 Mg 3.05, 2 Np 3.10
Tl: 0.0000 0.0000 0.5000  6 Te 3.47-3.48
Te: 0.7666 0.2911 0.0245  1 Mg 3.05, 2 Np 3.10
Np: 0.5000 0.5000 0.5000  6 Te 3.10-3.11
Te: 0.2619 0.2857 0.5238  3 Np 3.11, 3 Tl 3.47
Te: 0.2579 0.2911 0.0245  1 Mg 3.05, 2 Np 3.10
Tl: 0.0000 0.0000 0.0000  6 Te 3.47-3.48
Te: 0.2334 0.7089 0.9755  1 Mg 3.05, 2 Np 3.10
Tl: 0.5000 0.0000 0.0000  6 Te 3.53
Te: 0.7421 0.7089 0.9755  1 Mg 3.05, 2 Np 3.10

Results
- Space-group type: R-3m (166)
- Energy relative to the elements, uncorrected: -54.37 kJ/mol of atoms
- Electronic total energy: -5.252 eV per atom
- Total magnetic moment: 11.0 μB per formula unit

---

[9]
Entry from Alexandria: crystalline Mg2NpTl3Te6 at its relaxed geometry (PBE).

Unit cell a=7.5238 b=7.5238 c=8.4624 alpha=98.52 beta=98.52 gamma=119.99
Last column: nearest neighbours and their distance in Å.
Element x y z (fractional)
Te: 0.2641 0.2641 0.7912  2 Mg 3.02, 1 Np 3.03
Te: 0.5977 0.9307 0.7925  1 Np 3.02, 2 Mg 3.02
Tl: 0.5000 0.5000 0.5000  6 Te 3.44-3.45
Np: 0.0000 0.0000 0.0000  6 Te 3.02-3.03
Mg: 0.6667 0.3333 0.0000  6 Te 3.02
Te: 0.9307 0.5977 0.7925  1 Np 3.02, 2 Mg 3.02
Te: 0.7359 0.7359 0.2088  2 Mg 3.02, 1 Np 3.03
Mg: 0.3333 0.6667 0.0000  6 Te 3.02
Te: 0.0693 0.4023 0.2075  1 Np 3.02, 2 Mg 3.02
Te: 0.4023 0.0693 0.2075  1 Np 3.02, 2 Mg 3.02
Tl: 0.8354 0.1646 0.5000  6 Te 3.42-3.46
Tl: 0.1646 0.8354 0.5000  6 Te 3.42-3.46

Results
- Space-group type: C2/m (12)
- Energy relative to the elements, uncorrected: -52.09 kJ/mol of atoms
- Electronic total energy: -4.046 eV per atom
- Total magnetic moment: 2.2 μB per formula unit

---

[10]
Entry from Alexandria: crystalline MgNp3Tl3Te8 at its relaxed geometry (PBE).

Unit cell a=8.7706 b=8.7693 c=9.6745 alpha=116.94 beta=90.00 gamma=120.01
Last column: nearest neighbours and their distance in Å.
Element x y z (fractional)
Np: 0.5000 0.5000 0.5000  6 Te 3.06-3.09
Mg: 0.0000 0.0000 0.5000  6 Te 3.04
Te: 0.2350 0.9726 0.7076  1 Mg 3.04, 2 Np 3.06
Te: 0.2625 0.0275 0.2925  1 Mg 3.04, 2 Np 3.06
Te: 0.2617 0.5233 0.2850  3 Np 3.09, 3 Tl 3.45
Np: 0.5000 0.0000 0.5000  6 Te 3.06-3.09
Te: 0.7383 0.4767 0.7150  3 Np 3.09, 3 Tl 3.45
Np: 0.0000 0.5000 0.5000  6 Te 3.06-3.09
Te: 0.2350 0.4699 0.7075  1 Mg 3.04, 2 Np 3.06
Te: 0.7650 0.5301 0.2925  1 Mg 3.04, 2 Np 3.06
Te: 0.7650 0.0274 0.2924  1 Mg 3.04, 2 Np 3.06
Tl: 0.5000 0.5000 0.0000  6 Te 3.45-3.49
Tl: 0.0000 0.5000 0.0000  6 Te 3.45-3.49
Te: 0.7375 0.9725 0.7075  1 Mg 3.04, 2 Np 3.06
Tl: 0.0000 0.0000 0.0000  6 Te 3.45-3.49

Results
- Space-group type: R-3m (166)
- Energy relative to the elements, uncorrected: -53.45 kJ/mol of atoms
- Electronic total energy: -5.397 eV per atom
- Total magnetic moment: 10.0 μB per formula unit

---

[11]
Entry from Alexandria: crystalline ThMgNp at its relaxed geometry (PBE).

Unit cell a=3.4367 b=5.6621 c=8.5652 alpha=105.64 beta=101.57 gamma=90.00
Last column: nearest neighbours and their distance in Å.
Element x y z (fractional)
Mg: 0.5704 0.7391 0.1409  1 Mg 3.07, 3 Np 3.24-3.39, 6 Th 3.33-3.43
Th: 0.1067 0.2620 0.2134  4 Np 3.28-3.67, 6 Mg 3.33-3.43, 2 Th 3.44
Mg: 0.4296 0.2609 0.8591  1 Mg 3.07, 3 Np 3.24-3.39, 6 Th 3.33-3.43
Np: 0.7597 0.1538 0.5195  2 Np 2.40
Np: 0.2403 0.8462 0.4805  2 Np 2.40
Th: 0.8933 0.7380 0.7866  4 Np 3.28-3.67, 6 Mg 3.33-3.43, 2 Th 3.44

Results
- Space-group type: C2/m (12)
- Electronic total energy: -7.053 eV per atom
- Total magnetic moment: 1.5 μB per formula unit

---

[12]
Entry from Alexandria: crystalline MgNpZn11 at its relaxed geometry (PBE).

Unit cell a=5.3384 b=6.9036 c=6.8259 alpha=81.22 beta=66.98 gamma=67.04
Last column: nearest neighbours and their distance in Å.
Element x y z (fractional)
Np: 0.0000 0.0000 0.0000  18 Zn 3.16-3.45, 2 Mg 3.44
Zn: 0.0000 0.5000 0.0000  8 Zn 2.63-2.76, 2 Mg 2.67
Zn: 0.3445 0.6505 0.6427  7 Zn 2.62-2.93, 1 Mg 2.80
Zn: 0.5000 0.0000 0.5000  10 Zn 2.59-2.77
Zn: 0.4976 0.2114 0.7829  7 Zn 2.59-2.87, 1 Mg 2.67
Zn: 0.2805 0.2114 0.2171  7 Zn 2.59-2.87, 1 Mg 2.67
Zn: 0.7195 0.7886 0.7829  7 Zn 2.59-2.87, 1 Mg 2.67
Zn: 0.0000 0.0000 0.5000  10 Zn 2.59-2.77
Zn: 0.6555 0.3495 0.3573  7 Zn 2.62-2.93, 1 Mg 2.80
Zn: 0.5024 0.7886 0.2171  7 Zn 2.59-2.87, 1 Mg 2.67
Zn: 0.9872 0.6505 0.3573  7 Zn 2.62-2.93, 1 Mg 2.80
Mg: 0.5000 0.5000 0.0000  10 Zn 2.67-2.80
Zn: 0.0128 0.3495 0.6427  7 Zn 2.62-2.93, 1 Mg 2.80

Results
- Space-group type: C2/m (12)
- Electronic total energy: -2.220 eV per atom
- Total magnetic moment: 4.2 μB per formula unit